(1)
Computed, not measured: AlSn2Cl2 after structural relaxation at the PBE level of DFT.

Structure (POSCAR):
```
AlSn2Cl2
1.0
9.035 0.000 0.000
0.000 9.035 0.000
0.000 0.000 3.219
Al Sn Cl
2 4 4
Cartesian
0.000 0.000 0.000
4.518 4.518 0.000
1.866 2.651 1.609
2.651 7.169 1.609
6.384 1.866 1.609
7.169 6.384 1.609
1.071 5.589 0.000
3.446 1.071 0.000
5.589 7.964 0.000
7.964 3.446 0.000
```

Results
ΔE to the lowest computed polymorph in eV/f.u.: 0.105
E_form (uncorrected) in eV per atom: -0.09
Volume in A^3/atom: 26.27
Size of the total moment in μB per cell: 0.0
Electronic total energy in eV/atom: -3.18
DOS at the Fermi energy in states/eV/atom: 0.503

***

(2)
Computed, not measured: Zn2TeOs after structural relaxation at the PBE level of DFT.

Structure (POSCAR):
```
Zn2TeOs
1.0
-1.970 1.970 4.320
1.970 -1.970 4.320
1.970 1.970 -4.320
Zn Te Os
2 1 1
Cartesian
1.970 0.000 2.160
0.000 1.970 2.160
0.000 0.000 0.000
0.000 0.000 4.320
```

Results
E_form (uncorrected) in eV per atom: 0.51
Volume in A^3/atom: 16.77
Size of the total moment in μB per cell: 0.0
Electronic total energy in eV/atom: -3.72
DOS at the Fermi energy in states/eV/atom: 0.661

***

(3)
Computed, not measured: CeThTlGa after structural relaxation at the PBE level of DFT.

Structure (POSCAR):
```
CeThTlGa
1.0
0.000 3.798 3.798
3.798 0.000 3.798
3.798 3.798 0.000
Ce Th Tl Ga
1 1 1 1
Cartesian
0.000 0.000 0.000
3.798 3.798 3.798
1.899 1.899 1.899
5.697 5.697 5.697
```

Results
Energy relative to the elements in eV/atom: -0.230
Volume in A^3/atom: 27.39
Size of the total moment in μB per cell: 1.2
Electronic total energy in eV/atom: -4.92
DOS at the Fermi energy in states/eV/atom: 2.025

***

(4)
Computed, not measured: TiCuSb after structural relaxation at the PBE level of DFT.

Structure (POSCAR):
```
TiCuSb
1.0
3.894 0.000 0.000
0.000 1.973 6.903
0.000 -1.973 6.903
Ti Cu Sb
2 2 2
Cartesian
0.000 0.000 0.000
1.947 0.000 2.351
0.000 0.000 4.285
1.947 0.000 11.194
0.000 0.000 9.045
1.947 0.000 6.105
```

Results
E_form (uncorrected) in eV per atom: -0.14
Volume in A^3/atom: 17.68
Size of the total moment in μB per cell: 0.0
Electronic total energy in eV/atom: -5.51
DOS at the Fermi energy in states/eV/atom: 0.697

***

(5)
Computed, not measured: Bi2RhW after structural relaxation at the PBE level of DFT.

Structure (POSCAR):
```
Bi2RhW
1.0
-3.137 3.137 6.135
3.137 -3.137 6.135
3.137 3.137 -6.135
Bi Rh W
4 2 2
Cartesian
4.705 1.500 -1.534
1.500 1.568 1.534
-1.568 1.637 4.601
1.637 1.568 7.668
0.000 0.000 0.000
0.000 3.137 3.067
3.137 0.000 3.067
0.000 0.000 6.135
```

Results
Energy relative to the elements in eV/atom: 1.180
ΔE to the lowest computed polymorph in eV/f.u.: 2.086
Volume in A^3/atom: 30.18
Size of the total moment in μB per cell: 2.4
Electronic total energy in eV/atom: -5.84
DOS at the Fermi energy in states/eV/atom: 0.878

***

(6)
Computed, not measured: LiDySi after structural relaxation at the PBE level of DFT.

Structure (POSCAR):
```
LiDySi
1.0
0.000 3.282 3.282
3.282 0.000 3.282
3.282 3.282 0.000
Li Dy Si
1 1 1
Cartesian
0.000 0.000 0.000
3.282 3.282 3.282
4.923 4.923 4.923
```

Results
E_form (uncorrected) in eV per atom: -0.42
Volume in A^3/atom: 23.57
Size of the total moment in μB per cell: 0.0
Electronic total energy in eV/atom: -4.40

***

(7)
Computed, not measured: ScC2I after structural relaxation at the PBE level of DFT.

Structure (POSCAR):
```
ScC2I
1.0
-2.583 2.583 5.448
2.583 -2.583 5.448
2.583 2.583 -5.448
Sc C I
2 4 2
Cartesian
0.000 0.000 0.000
0.000 2.583 2.724
3.874 1.232 -1.362
1.232 1.291 1.362
-1.291 1.351 4.086
1.351 1.291 6.811
2.583 0.000 2.724
0.000 0.000 5.448
```

Results
ΔE to the lowest computed polymorph in eV/f.u.: 0.000
E_form (uncorrected) in eV per atom: 1.45
Volume in A^3/atom: 18.18
Size of the total moment in μB per cell: 0.0
Electronic total energy in eV/atom: -5.13
DOS at the Fermi energy in states/eV/atom: 0.281

***

(8)
Computed, not measured: CaMg2Os after structural relaxation at the PBE level of DFT.

Structure (POSCAR):
```
CaMg2Os
1.0
2.953 -5.086 0.000
2.953 5.086 0.000
-1.110 0.000 2.668
Ca Mg Os
1 2 1
Cartesian
0.000 0.000 0.000
0.922 2.543 1.334
0.922 -2.543 1.334
2.953 0.000 0.000
```

Results
Energy relative to the elements in eV/atom: 0.437
Volume in A^3/atom: 20.03
Size of the total moment in μB per cell: 0.0
Electronic total energy in eV/atom: -3.67
DOS at the Fermi energy in states/eV/atom: 0.872